A plane-wave DFT calculation with GGA-PBE was carried out for crystalline CoAs8 at its relaxed geometry.

Geometry as extended XYZ:
```
9
Lattice="-5.317 5.317 1.687 5.317 -5.317 1.687 5.317 5.317 -1.687" Properties=species:S:1:pos:R:3 pbc="T T T"
Co 0.000 0.000 0.000
As 3.809 0.000 0.000
As 6.826 0.000 0.000
As 0.000 3.809 0.000
As 4.037 4.037 0.000
As 1.280 -1.280 1.687
As -1.280 1.280 1.687
As 1.280 1.280 1.687
As 0.000 6.826 0.000
```

Output
For the energy, the calculation gives -42.306 eV/f.u. Its space group is I4/mmm, No. 139.